Entry w
# TlN2F2

TlN2F2 after structural relaxation (PBE, Alexandria).

Lattice parameters (Å, degrees): 6.696 3.866 8.339 90.00 97.45 90.00
Space group C2/m (No. 12)
Unique sites:
Tl 0.000 0.000 0.000 [2 per cell]
N 0.031 0.000 0.441 [4 per cell]
F 0.185 0.500 0.118 [4 per cell]

---

Entry x
# TlN2F2

TlN2F2 after structural relaxation (PBE, Alexandria).

Lattice parameters (Å, degrees): 3.877 3.877 5.702 90.00 90.00 90.00
Space group P4/mmm (No. 123)
Unique sites:
Tl 0.000 0.000 0.000 [1 per cell]
N 0.000 0.500 0.500 [2 per cell]
F 0.500 0.500 0.000 [1 per cell]
F 0.500 0.500 0.500 [1 per cell]

---

Entry y
# TlN2F2

TlN2F2 after structural relaxation (PBE, Alexandria).

Lattice parameters (Å, degrees): 4.533 4.533 4.509 90.00 90.00 90.00
Space group P4/mmm (No. 123)
Unique sites:
Tl 0.000 0.000 0.000 [1 per cell]
N 0.000 0.000 0.500 [1 per cell]
N 0.500 0.500 0.500 [1 per cell]
F 0.000 0.500 0.000 [2 per cell]

---

Result of the stability comparison: entry w is the most stable of them.

---

Entry w
# TlN2F

TlN2F after structural relaxation (PBE, Alexandria).

Lattice parameters (Å, degrees): 5.686 5.686 5.686 90.00 90.00 90.00
Space group Fm-3m (No. 225)
Unique sites:
Tl 0.000 0.000 0.000 [4 per cell]
N 0.250 0.250 0.250 [8 per cell]
F 0.000 0.000 0.500 [4 per cell]

---

Entry x
# TlN2F

TlN2F after structural relaxation (PBE, Alexandria).

Lattice parameters (Å, degrees): 4.1447 4.1447 12.5017 90.00 90.00 120.00
Space group R-3m (No. 166, hexagonal axes)
Unique sites:
Tl 0.0000 0.0000 0.0000 [3 per cell]
N 0.0000 0.0000 0.3434 [6 per cell]
F 0.0000 0.0000 0.5000 [3 per cell]

---

Entry y
# TlN2F

TlN2F after structural relaxation (PBE, Alexandria).

Lattice parameters (Å, degrees): 4.057 4.077 7.570 80.92 88.06 61.34
Space group P1 (No. 1)
Unique sites:
Tl 0.000 0.000 0.000 [1 per cell]
N 0.695 0.541 0.427 [1 per cell]
N 0.837 0.306 0.542 [1 per cell]
F 0.321 0.381 0.879 [1 per cell]

---

Result of the stability comparison: entry y is the most stable of them.

---

Entry w
# TlNF3

TlNF3 after structural relaxation (PBE, Alexandria).

Lattice parameters (Å, degrees): 4.054 4.054 4.054 90.00 90.00 90.00
Space group Pm-3m (No. 221)
Unique sites:
Tl 0.000 0.000 0.000 [1 per cell]
N 0.500 0.500 0.500 [1 per cell]
F 0.000 0.500 0.500 [3 per cell]

---

Entry x
# TlNF3

TlNF3 after structural relaxation (PBE, Alexandria).

Lattice parameters (Å, degrees): 4.386 6.651 6.965 90.19 90.19 94.15
Space group P-1 (No. 2)
Unique sites:
Tl 0.002 0.007 0.250 [2 per cell]
N 0.459 0.511 0.250 [2 per cell]
F 0.020 0.207 0.505 [2 per cell]
F 0.020 0.207 0.996 [2 per cell]
F 0.498 0.987 0.750 [2 per cell]

---

Result of the stability comparison: entry x is the most stable of them.